No. 1
Density functional theory data (PBE) for an optimized crystal structure of Li3TbTm2S6.

Cell lengths 6.7263, 6.7263, 6.5615 Å; angles 99.83, 99.83, 120.01 degrees
With the nearest neighbours (Å) after each atom.
Atoms (fractional coordinates):
Li 0.0000 0.0000 0.0000  6 S 2.70-2.74
Li 0.3322 0.6678 0.0000  6 S 2.69-2.75
Li 0.6678 0.3322 0.0000  6 S 2.69-2.75
Tb 0.5000 0.5000 0.5000  6 S 2.74
Tm 0.1666 0.8334 0.5000  6 S 2.70-2.71
Tm 0.8334 0.1666 0.5000  6 S 2.70-2.71
S 0.0793 0.4172 0.2513  3 Li 2.69-2.74, 2 Tm 2.70, 1 Tb 2.74
S 0.2452 0.2452 0.7495  3 Li 2.70-2.75, 2 Tm 2.71, 1 Tb 2.74
S 0.4172 0.0793 0.2513  3 Li 2.69-2.74, 2 Tm 2.70, 1 Tb 2.74
S 0.5828 0.9207 0.7487  3 Li 2.69-2.74, 2 Tm 2.70, 1 Tb 2.74
S 0.7548 0.7548 0.2505  3 Li 2.70-2.75, 2 Tm 2.71, 1 Tb 2.74
S 0.9207 0.5828 0.7487  3 Li 2.69-2.74, 2 Tm 2.70, 1 Tb 2.74

## Properties
The value obtained for the spin magnetization is 0.00 μB/f.u. Its space-group type is No. 12.


No. 2
Density functional theory data (PBE) for an optimized crystal structure of Li3Tb4US8.

Cell lengths 7.7379, 7.7379, 7.7379 Å; angles 60.46, 60.46, 60.46 degrees
With the nearest neighbours (Å) after each atom.
Atoms (fractional coordinates):
Li 0.0000 0.5000 0.5000  6 S 2.71-2.73
Li 0.5000 0.0000 0.5000  6 S 2.71-2.73
Li 0.5000 0.5000 0.0000  6 S 2.71-2.73
Tb 0.0000 0.0000 0.5000  6 S 2.76-2.78
Tb 0.0000 0.5000 0.0000  6 S 2.76-2.78
Tb 0.5000 0.0000 0.0000  6 S 2.76-2.78
Tb 0.5000 0.5000 0.5000  6 S 2.75
U 0.0000 0.0000 0.0000  6 S 2.74
S 0.2493 0.2493 0.7444  2 Li 2.71, 1 U 2.74, 3 Tb 2.75-2.78
S 0.2493 0.7444 0.2493  2 Li 2.71, 1 U 2.74, 3 Tb 2.75-2.78
S 0.2512 0.2512 0.2512  3 Li 2.73, 3 Tb 2.76
S 0.2556 0.7507 0.7507  2 Li 2.71, 1 U 2.74, 3 Tb 2.75-2.78
S 0.7444 0.2493 0.2493  2 Li 2.71, 1 U 2.74, 3 Tb 2.75-2.78
S 0.7488 0.7488 0.7488  3 Li 2.73, 3 Tb 2.76
S 0.7507 0.2556 0.7507  2 Li 2.71, 1 U 2.74, 3 Tb 2.75-2.78
S 0.7507 0.7507 0.2556  2 Li 2.71, 1 U 2.74, 3 Tb 2.75-2.78

## Properties
The value obtained for the spin magnetization is 2.78 μB/f.u. Its space-group type is No. 166.


No. 3
Density functional theory data (PBE) for an optimized crystal structure of Li2Tb2US6.

Cell lengths 6.8733, 6.8733, 6.5356 Å; angles 99.75, 99.75, 120.03 degrees
With the nearest neighbours (Å) after each atom.
Atoms (fractional coordinates):
Li 0.1680 0.8320 0.0000  6 S 2.71-2.80
Li 0.8320 0.1680 0.0000  6 S 2.71-2.80
Tb 0.3346 0.6654 0.5000  6 S 2.73-2.78
Tb 0.6654 0.3346 0.5000  6 S 2.73-2.78
U 0.0000 0.0000 0.5000  6 S 2.66-2.72
S 0.0716 0.4057 0.7440  2 Li 2.71-2.80, 1 U 2.72, 2 Tb 2.73-2.78
S 0.2417 0.2417 0.2562  1 U 2.66, 2 Tb 2.77, 2 Li 2.77
S 0.4057 0.0716 0.7440  2 Li 2.71-2.80, 1 U 2.72, 2 Tb 2.73-2.78
S 0.5943 0.9284 0.2560  2 Li 2.71-2.80, 1 U 2.72, 2 Tb 2.73-2.78
S 0.7583 0.7583 0.7438  1 U 2.66, 2 Tb 2.77, 2 Li 2.77
S 0.9284 0.5943 0.2560  2 Li 2.71-2.80, 1 U 2.72, 2 Tb 2.73-2.78

## Properties
The value obtained for the spin magnetization is 2.00 μB/f.u. Its space-group type is No. 12.


No. 4
Density functional theory data (PBE) for an optimized crystal structure of Li4TbU3S8.

Cell lengths 7.6962, 7.6962, 7.6962 Å; angles 60.42, 60.42, 60.42 degrees
With the nearest neighbours (Å) after each atom.
Atoms (fractional coordinates):
Li 0.0000 0.0000 0.0000  6 S 2.70
Li 0.0000 0.5000 0.5000  6 S 2.70-2.71
Li 0.5000 0.0000 0.5000  6 S 2.70-2.71
Li 0.5000 0.5000 0.0000  6 S 2.70-2.71
Tb 0.5000 0.5000 0.5000  6 S 2.76
U 0.0000 0.0000 0.5000  6 S 2.75-2.76
U 0.0000 0.5000 0.0000  6 S 2.75-2.76
U 0.5000 0.0000 0.0000  6 S 2.75-2.76
S 0.2474 0.2474 0.7487  3 Li 2.70-2.71, 2 U 2.75, 1 Tb 2.76
S 0.2474 0.7487 0.2474  3 Li 2.70-2.71, 2 U 2.75, 1 Tb 2.76
S 0.2513 0.7526 0.7526  3 Li 2.70-2.71, 2 U 2.75, 1 Tb 2.76
S 0.2526 0.2526 0.2526  3 Li 2.70, 3 U 2.76
S 0.7474 0.7474 0.7474  3 Li 2.70, 3 U 2.76
S 0.7487 0.2474 0.2474  3 Li 2.70-2.71, 2 U 2.75, 1 Tb 2.76
S 0.7526 0.2513 0.7526  3 Li 2.70-2.71, 2 U 2.75, 1 Tb 2.76
S 0.7526 0.7526 0.2513  3 Li 2.70-2.71, 2 U 2.75, 1 Tb 2.76

## Properties
The value obtained for the spin magnetization is 8.96 μB/f.u. Its space-group type is No. 166.


No. 5
Density functional theory data (PBE) for an optimized crystal structure of LiTbUS3.

Cell lengths 8.1214, 3.7493, 8.3712 Å; angles 90.00, 102.86, 90.00 degrees
With the nearest neighbours (Å) after each atom.
Atoms (fractional coordinates):
Li 0.0880 0.2500 0.0791  4 S 2.35-2.39, 2 Li 2.54
Li 0.9120 0.7500 0.9209  4 S 2.35-2.39, 2 Li 2.54
Tb 0.3392 0.7500 0.3340  6 S 2.72-2.87
Tb 0.6608 0.2500 0.6660  6 S 2.72-2.87
U 0.1732 0.2500 0.7058  7 S 2.80-2.96
U 0.8268 0.7500 0.2942  7 S 2.80-2.96
S 0.0962 0.2500 0.3616  1 Li 2.35
S 0.2145 0.7500 0.9849  3 Li 2.36-2.39
S 0.4197 0.7500 0.6743  3 Tb 2.72-2.78, 2 U 2.80
S 0.5803 0.2500 0.3257  3 Tb 2.72-2.78, 2 U 2.80
S 0.7855 0.2500 0.0151  3 Li 2.36-2.39
S 0.9038 0.7500 0.6384  1 Li 2.35

## Properties
The value obtained for the spin magnetization is 3.04 μB/f.u. Its space-group type is No. 11.


No. 6
Density functional theory data (PBE) for an optimized crystal structure of Li3Tb3US8.

Cell lengths 7.6764, 7.6764, 7.6764 Å; angles 62.06, 62.06, 62.06 degrees
With the nearest neighbours (Å) after each atom.
Atoms (fractional coordinates):
Li 0.0000 0.5000 0.5000  6 S 2.75-2.76
Li 0.5000 0.0000 0.5000  6 S 2.75-2.76
Li 0.5000 0.5000 0.0000  6 S 2.75-2.76
Tb 0.0000 0.0000 0.5000  6 S 2.76
Tb 0.0000 0.5000 0.0000  6 S 2.76
Tb 0.5000 0.0000 0.0000  6 S 2.76
U 0.5000 0.5000 0.5000  6 S 2.69
S 0.2502 0.2502 0.2502  3 Li 2.75, 3 Tb 2.76
S 0.2562 0.2562 0.7439  1 U 2.69, 2 Li 2.76, 2 Tb 2.76
S 0.2562 0.7439 0.2562  1 U 2.69, 2 Li 2.76, 2 Tb 2.76
S 0.2561 0.7438 0.7438  1 U 2.69, 2 Li 2.76, 2 Tb 2.76
S 0.7439 0.2562 0.2562  1 U 2.69, 2 Li 2.76, 2 Tb 2.76
S 0.7438 0.2561 0.7438  1 U 2.69, 2 Li 2.76, 2 Tb 2.76
S 0.7438 0.7438 0.2561  1 U 2.69, 2 Li 2.76, 2 Tb 2.76
S 0.7498 0.7498 0.7498  3 Li 2.75, 3 Tb 2.76

## Properties
The value obtained for the spin magnetization is 2.00 μB/f.u. Its space-group type is No. 166.


Computed values of energy relative to the elements, uncorrected (unit: meV per atom) for the preceding records, in sequence: -1855; -1775; -1683; -1471; -1521; -1728.